NaPrGd2 | PBE-GGA | relaxed

* DOS at the Fermi energy: 6.63 states/eV per cell
* calculated formation energy: 121 meV per atom
* relative energy among the computed polymorphs: 0.0000 eV per atom

Lattice parameters (Å, degrees): 3.582 3.582 10.734 90.00 90.00 90.00
Atoms (fractional coordinates):
Na  0.000  0.000  0.000
Pr  0.000  0.000  0.500
Gd  0.500  0.500  0.266
Gd  0.500  0.500  0.734

NaPr2Gd | PBE-GGA | relaxed

* DOS at the Fermi energy: 5.15 states/eV per cell
* calculated formation energy: 182 meV per atom
* relative energy among the computed polymorphs: 0.0861 eV per atom

Lattice parameters (Å, degrees): 6.029 6.029 3.775 90.00 90.00 90.00
Atoms (fractional coordinates):
Na  0.000  0.000  0.000
Pr  0.000  0.500  0.500
Pr  0.500  0.000  0.500
Gd  0.500  0.500  0.000

NaPrGdSn | PBE-GGA | relaxed

* DOS at the Fermi energy: 5.88 states/eV per cell
* calculated formation energy: -318 meV per atom

Lattice parameters (Å, degrees): 5.469 5.469 5.469 60.00 60.00 60.00
Atoms (fractional coordinates):
Na  0.000  0.000  0.000
Pr  0.750  0.750  0.750
Gd  0.250  0.250  0.250
Sn  0.500  0.500  0.500

NaPrGdTl | PBE-GGA | relaxed

* DOS at the Fermi energy: 3.97 states/eV per cell
* calculated formation energy: -102 meV per atom

Lattice parameters (Å, degrees): 5.529 5.529 5.529 60.00 60.00 60.00
Atoms (fractional coordinates):
Na  0.000  0.000  0.000
Pr  0.250  0.250  0.250
Gd  0.750  0.750  0.750
Tl  0.500  0.500  0.500

NaGd2Pt | PBE-GGA | relaxed

* DOS at the Fermi energy: 5.14 states/eV per cell
* calculated formation energy: -511 meV per atom

Lattice parameters (Å, degrees): 3.526 3.526 9.455 90.00 90.00 90.00
Atoms (fractional coordinates):
Na  0.000  0.000  0.000
Gd  0.500  0.500  0.324
Gd  0.500  0.500  0.676
Pt  0.000  0.000  0.500

NaGdSnPt | PBE-GGA | relaxed

* calculated formation energy: -680 meV per atom

Lattice parameters (Å, degrees): 4.904 4.904 4.904 60.00 60.00 60.00
Atoms (fractional coordinates):
Na  0.000  0.000  0.000
Gd  0.750  0.750  0.750
Sn  0.250  0.250  0.250
Pt  0.500  0.500  0.500

NaGd3Rh | PBE-GGA | relaxed

* DOS at the Fermi energy: 9.11 states/eV per cell
* calculated formation energy: -199 meV per atom

Lattice parameters (Å, degrees): 5.508 5.508 5.508 90.00 90.00 90.00
Atoms (fractional coordinates):
Na  0.000  0.000  0.000
Gd  0.000  0.500  0.500
Gd  0.500  0.000  0.500
Gd  0.500  0.500  0.000
Rh  0.500  0.500  0.500

NaGdSbRh | PBE-GGA | relaxed

* formation energy (no corrections): -56.7 kJ per mole of atoms

Lattice parameters (Å, degrees): 4.858 4.858 4.858 60.00 60.00 60.00
Atoms (fractional coordinates):
Na  0.000  0.000  0.000
Gd  0.250  0.250  0.250
Sb  0.750  0.750  0.750
Rh  0.500  0.500  0.500

NaGdTlRh | PBE-GGA | relaxed

* DOS at the Fermi energy: 4.62 states/eV per cell
* calculated formation energy: -197 meV per atom

Lattice parameters (Å, degrees): 4.952 4.952 4.952 60.00 60.00 60.00
Atoms (fractional coordinates):
Na  0.000  0.000  0.000
Gd  0.250  0.250  0.250
Tl  0.750  0.750  0.750
Rh  0.500  0.500  0.500

NaGd3Ru | PBE-GGA | relaxed

* DOS at the Fermi energy: 5.19 states/eV per cell
* calculated formation energy: -66 meV per atom

Lattice parameters (Å, degrees): 5.465 5.465 5.465 90.00 90.00 90.00
Atoms (fractional coordinates):
Na  0.000  0.000  0.000
Gd  0.000  0.500  0.500
Gd  0.500  0.000  0.500
Gd  0.500  0.500  0.000
Ru  0.500  0.500  0.500

NaGd2Se | PBE-GGA | relaxed

* DOS at the Fermi energy: 5.72 states/eV per cell
* formation energy (no corrections): -61.8 kJ per mole of atoms

Lattice parameters (Å, degrees): 10.901 10.901 10.901 20.31 20.31 20.31
Atoms (fractional coordinates):
Na  0.000  0.000  0.000
Gd  0.112  0.112  0.112
Gd  0.888  0.888  0.888
Se  0.500  0.500  0.500

NaSm2Gd | PBE-GGA | relaxed

* DOS at the Fermi energy: 4.53 states/eV per cell
* calculated formation energy: 118 meV per atom
* relative energy among the computed polymorphs: 0.0000 eV per atom

Lattice parameters (Å, degrees): 3.538 3.538 10.841 90.00 90.00 90.00
Atoms (fractional coordinates):
Na  0.000  0.000  0.000
Sm  0.500  0.500  0.266
Sm  0.500  0.500  0.734
Gd  0.000  0.000  0.500

NaSmGd2 | PBE-GGA | relaxed

* DOS at the Fermi energy: 8.03 states/eV per cell
* calculated formation energy: 260 meV per atom
* relative energy among the computed polymorphs: 0.1456 eV per atom

Lattice parameters (Å, degrees): 5.075 5.075 5.138 90.00 90.00 90.00
Atoms (fractional coordinates):
Na  0.000  0.000  0.000
Sm  0.500  0.500  0.000
Gd  0.000  0.500  0.500
Gd  0.500  0.000  0.500

NaSmGd2 | PBE-GGA | relaxed

* DOS at the Fermi energy: 5.00 states/eV per cell
* calculated formation energy: 151 meV per atom
* relative energy among the computed polymorphs: 0.0365 eV per atom

Lattice parameters (Å, degrees): 12.906 12.906 12.906 15.79 15.79 15.79
Atoms (fractional coordinates):
Na  0.000  0.000  0.000
Sm  0.500  0.500  0.500
Gd  0.092  0.092  0.092
Gd  0.908  0.908  0.908

NaSmGd | PBE-GGA | relaxed

* DOS at the Fermi energy: 3.78 states/eV per cell
* calculated formation energy: 120 meV per atom
* relative energy among the computed polymorphs: 0.0000 eV per atom

Lattice parameters (Å, degrees): 3.584 3.584 9.241 90.00 90.00 120.00
Atoms (fractional coordinates):
Na  0.000  0.000  0.000
Sm  0.333  0.667  0.651
Gd  0.667  0.333  0.348

NaSmGd2 | PBE-GGA | relaxed

* DOS at the Fermi energy: 6.14 states/eV per cell
* calculated formation energy: 115 meV per atom
* relative energy among the computed polymorphs: 0.0000 eV per atom

Lattice parameters (Å, degrees): 3.548 3.548 10.729 90.00 90.00 90.00
Atoms (fractional coordinates):
Na  0.000  0.000  0.000
Sm  0.000  0.000  0.500
Gd  0.500  0.500  0.268
Gd  0.500  0.500  0.732

NaSmGd | PBE-GGA | relaxed

* DOS at the Fermi energy: 3.28 states/eV per cell
* calculated formation energy: 136 meV per atom
* relative energy among the computed polymorphs: 0.0159 eV per atom

Lattice parameters (Å, degrees): 8.532 8.532 8.532 155.99 155.99 34.21
Atoms (fractional coordinates):
Na  0.000  0.000  0.000
Sm  0.675  0.675  0.000
Gd  0.325  0.325  0.000

NaSm2Gd | PBE-GGA | relaxed

* DOS at the Fermi energy: 5.54 states/eV per cell
* calculated formation energy: 150 meV per atom
* relative energy among the computed polymorphs: 0.0315 eV per atom

Lattice parameters (Å, degrees): 12.995 12.995 12.995 15.68 15.68 15.68
Atoms (fractional coordinates):
Na  0.000  0.000  0.000
Sm  0.092  0.092  0.092
Sm  0.908  0.908  0.908
Gd  0.500  0.500  0.500

NaSmGdSn | PBE-GGA | relaxed

* DOS at the Fermi energy: 5.12 states/eV per cell
* calculated formation energy: -305 meV per atom

Lattice parameters (Å, degrees): 5.417 5.417 5.417 60.00 60.00 60.00
Atoms (fractional coordinates):
Na  0.000  0.000  0.000
Sm  0.250  0.250  0.250
Gd  0.750  0.750  0.750
Sn  0.500  0.500  0.500

NaSmGdTl | PBE-GGA | relaxed

* DOS at the Fermi energy: 3.64 states/eV per cell
* calculated formation energy: -90 meV per atom

Lattice parameters (Å, degrees): 5.475 5.475 5.475 60.00 60.00 60.00
Atoms (fractional coordinates):
Na  0.000  0.000  0.000
Sm  0.250  0.250  0.250
Gd  0.750  0.750  0.750
Tl  0.500  0.500  0.500

Number 1: total moment 14.92 μB/f.u.. Number 2: total moment 7.33 μB/f.u.. Number 3: total moment 7.75 μB/f.u.. Number 4: total moment 8.00 μB/f.u.. Number 5: total moment 14.43 μB/f.u.. Number 6: total moment 7.00 μB/f.u.. Number 7: total moment 21.32 μB/f.u.. Number 8: total moment 7.00 μB/f.u.. Number 9: total moment 7.72 μB/f.u.. Number 10: total moment 21.74 μB/f.u.. Number 11: total moment 14.94 μB/f.u.. Number 12: total moment 7.17 μB/f.u.. Number 13: total moment 16.13 μB/f.u.. Number 14: total moment 15.12 μB/f.u.. Number 15: total moment 7.57 μB/f.u.. Number 16: total moment 14.90 μB/f.u.. Number 17: total moment 7.52 μB/f.u.. Number 18: total moment 7.13 μB/f.u.. Number 19: total moment 7.85 μB/f.u.. Number 20: total moment 7.94 μB/f.u..